A plane-wave DFT calculation with PBE+U was carried out for a relaxed structure of NaPuCrO6.

Values from the calculation:
**Calculated volume**: 13.95 Å³ per atom
**Magnetic moment**: 3.00 μB per formula unit
**Calculated total energy**: -7.82 eV per atom

Lattice parameters (Å, degrees): 5.311 5.311 10.283 90.00 90.00 120.00
Site moments in Bohr magnetons follow the coordinates.
Sites, in units of the cell vectors:
Na 0.000 0.000 0.000  0.00
Na 0.000 0.000 0.500  0.00
Pu 0.667 0.333 0.250  1.40
Pu 0.333 0.667 0.750  1.40
Cr 0.333 0.667 0.250  2.60
Cr 0.667 0.333 0.750  2.60
O 0.629 0.633 0.148  -0.15
O 0.004 0.371 0.148  -0.15
O 0.371 0.004 0.648  -0.15
O 0.996 0.629 0.852  -0.15
O 0.367 0.371 0.352  -0.15
O 0.004 0.633 0.352  -0.15
O 0.633 0.004 0.852  -0.15
O 0.629 0.996 0.352  -0.15
O 0.996 0.367 0.648  -0.15
O 0.367 0.996 0.148  -0.15
O 0.633 0.629 0.648  -0.15
O 0.371 0.367 0.852  -0.15